Record 1
VASP calculation (PBE) on a geometry-optimized Ba2Hg4Rh structure.

a b c (Å): 5.285 5.285 17.204
angles (deg): 90.00 90.00 90.00
Space group I4/mmm (No. 139)
One atom of each set of equivalent atoms:
Ba (0.000, 0.000, 0.140) (multiplicity 4)
Hg (0.000, 0.000, 0.342) (multiplicity 4)
Hg (0.000, 0.500, 0.000) (multiplicity 4)
Rh (0.000, 0.000, 0.500) (multiplicity 2)


Record 2
VASP calculation (PBE) on a geometry-optimized Ba3Hg4Rh2 structure.

a b c (Å): 12.625 4.625 9.951
angles (deg): 90.00 109.93 90.00
Space group C2/m (No. 12)
One atom of each set of equivalent atoms:
Ba (0.000, 0.000, 0.000) (multiplicity 2)
Ba (0.183, 0.500, 0.633) (multiplicity 4)
Hg (0.032, 0.000, 0.358) (multiplicity 4)
Hg (0.227, 0.500, 0.083) (multiplicity 4)
Rh (0.112, 0.500, 0.270) (multiplicity 4)


Record 3
VASP calculation (PBE) on a geometry-optimized BaHgRh structure.

a b c (Å): 4.7020 4.7020 4.5681
angles (deg): 90.00 90.00 120.00
Space group P-6m2 (No. 187)
One atom of each set of equivalent atoms:
Ba (0.0000, 0.0000, 0.0000) (multiplicity 1)
Hg (0.6667, 0.3333, 0.5000) (multiplicity 1)
Rh (0.3333, 0.6667, 0.5000) (multiplicity 1)


Record 4
VASP calculation (PBE) on a geometry-optimized BaHg2Rh2 structure.

a b c (Å): 8.254 8.254 3.192
angles (deg): 90.00 90.00 90.00
Space group P4/mbm (No. 127)
One atom of each set of equivalent atoms:
Ba (0.000, 0.000, 0.000) (multiplicity 2)
Hg (0.130, 0.370, 0.000) (multiplicity 4)
Rh (0.166, 0.666, 0.500) (multiplicity 4)


Record 5
VASP calculation (PBE) on a geometry-optimized BaHg2Rh structure.

a b c (Å): 4.180 4.611 11.528
angles (deg): 90.00 90.00 90.00
Space group Amm2 (No. 38)
One atom of each set of equivalent atoms:
Ba (0.000, 0.000, 0.000) (multiplicity 2)
Hg (0.000, 0.000, 0.713) (multiplicity 2)
Hg (0.500, 0.000, 0.314) (multiplicity 2)
Rh (0.500, 0.000, 0.556) (multiplicity 2)


Record 6
VASP calculation (PBE) on a geometry-optimized BaHgRh structure.

a b c (Å): 7.377 7.377 7.377
angles (deg): 90.00 90.00 90.00
Space group F-43m (No. 216)
One atom of each set of equivalent atoms:
Ba (0.000, 0.000, 0.000) (multiplicity 4)
Hg (0.250, 0.250, 0.250) (multiplicity 4)
Rh (0.250, 0.250, 0.750) (multiplicity 4)


Record 7
VASP calculation (PBE) on a geometry-optimized Ba2HgRh2 structure.

a b c (Å): 7.542 7.542 4.746
angles (deg): 90.00 90.00 90.00
Space group P4/mbm (No. 127)
One atom of each set of equivalent atoms:
Ba (0.178, 0.322, 0.000) (multiplicity 4)
Hg (0.000, 0.000, 0.500) (multiplicity 2)
Rh (0.125, 0.625, 0.500) (multiplicity 4)


Record 8
VASP calculation (PBE) on a geometry-optimized Ba14Hg6Rh3 structure.

a b c (Å): 7.521 12.233 12.296
angles (deg): 119.66 90.43 90.15
Space group P1 (No. 1)
One atom of each set of equivalent atoms:
Ba (0.000, 0.000, 0.000) (multiplicity 1)
Ba (0.001, 0.370, 0.378) (multiplicity 1)
Ba (0.101, 0.132, 0.747) (multiplicity 1)
Ba (0.227, 0.501, 0.829) (multiplicity 1)
Ba (0.229, 0.772, 0.640) (multiplicity 1)
Ba (0.243, 0.604, 0.215) (multiplicity 1)
Ba (0.455, 0.888, 0.137) (multiplicity 1)
Ba (0.461, 0.236, 0.480) (multiplicity 1)
Ba (0.486, 0.247, 0.128) (multiplicity 1)
Ba (0.603, 0.123, 0.747) (multiplicity 1)
Ba (0.720, 0.484, 0.001) (multiplicity 1)
Ba (0.740, 0.757, 0.451) (multiplicity 1)
Ba (0.743, 0.646, 0.733) (multiplicity 1)
Ba (0.981, 0.023, 0.363) (multiplicity 1)
Hg (0.031, 0.314, 0.067) (multiplicity 1)
Hg (0.367, 0.931, 0.459) (multiplicity 1)
Hg (0.473, 0.506, 0.438) (multiplicity 1)
Hg (0.541, 0.935, 0.880) (multiplicity 1)
Hg (0.867, 0.319, 0.650) (multiplicity 1)
Hg (0.971, 0.749, 0.064) (multiplicity 1)
Rh (0.231, 0.134, 0.252) (multiplicity 1)
Rh (0.343, 0.361, 0.964) (multiplicity 1)
Rh (0.846, 0.890, 0.726) (multiplicity 1)


Record 9
VASP calculation (PBE) on a geometry-optimized BaHgRh structure.

a b c (Å): 13.690 4.525 5.687
angles (deg): 90.00 102.13 90.00
Space group C2/m (No. 12)
One atom of each set of equivalent atoms:
Ba (0.122, 0.000, 0.335) (multiplicity 4)
Hg (0.087, 0.500, 0.815) (multiplicity 4)
Rh (0.219, 0.000, 0.905) (multiplicity 4)


Record 10
VASP calculation (PBE) on a geometry-optimized BaHg2Rh structure.

a b c (Å): 3.431 3.990 7.320
angles (deg): 90.00 90.00 90.00
Space group Pmmm (No. 47)
One atom of each set of equivalent atoms:
Ba (0.000, 0.000, 0.000) (multiplicity 1)
Hg (0.500, 0.500, 0.306) (multiplicity 2)
Rh (0.000, 0.000, 0.500) (multiplicity 1)


Record 11
VASP calculation (PBE) on a geometry-optimized BaHg2Rh structure.

a b c (Å): 4.7516 4.7516 17.2051
angles (deg): 90.00 90.00 120.00
Space group R-3m (No. 166, hexagonal axes)
One atom of each set of equivalent atoms:
Ba (0.0000, 0.0000, 0.0000) (multiplicity 3)
Hg (0.0000, 0.0000, 0.2083) (multiplicity 6)
Rh (0.0000, 0.0000, 0.5000) (multiplicity 3)


Record 12
VASP calculation (PBE) on a geometry-optimized Ba8Hg2Rh structure.

a b c (Å): 21.187 6.018 7.930
angles (deg): 90.00 105.37 90.00
Space group C2/m (No. 12)
One atom of each set of equivalent atoms:
Ba (0.033, 0.000, 0.307) (multiplicity 4)
Ba (0.086, 0.500, 0.897) (multiplicity 4)
Ba (0.152, 0.500, 0.456) (multiplicity 4)
Ba (0.213, 0.000, 0.816) (multiplicity 4)
Hg (0.191, 0.000, 0.233) (multiplicity 4)
Rh (0.000, 0.500, 0.500) (multiplicity 2)


Record 13
VASP calculation (PBE) on a geometry-optimized Ba6Hg5Rh structure.

a b c (Å): 5.870 8.232 17.492
angles (deg): 90.00 90.00 90.00
Space group Immm (No. 71)
One atom of each set of equivalent atoms:
Ba (0.000, 0.232, 0.000) (multiplicity 4)
Ba (0.000, 0.261, 0.342) (multiplicity 8)
Hg (0.000, 0.000, 0.179) (multiplicity 4)
Hg (0.000, 0.000, 0.500) (multiplicity 2)
Hg (0.000, 0.500, 0.166) (multiplicity 4)
Rh (0.000, 0.500, 0.500) (multiplicity 2)


Record 14
VASP calculation (PBE) on a geometry-optimized BaHg2Rh structure.

a b c (Å): 5.077 4.605 5.351
angles (deg): 90.00 111.60 90.00
Space group P2/m (No. 10)
One atom of each set of equivalent atoms:
Ba (0.000, 0.000, 0.000) (multiplicity 1)
Hg (0.329, 0.500, 0.683) (multiplicity 2)
Rh (0.500, 0.000, 0.500) (multiplicity 1)


Record 15
VASP calculation (PBE) on a geometry-optimized Ba2HgRh2 structure.

a b c (Å): 10.548 6.141 8.656
angles (deg): 90.00 103.81 90.00
Space group C2/c (No. 15)
One atom of each set of equivalent atoms:
Ba (0.147, 0.146, 0.146) (multiplicity 8)
Hg (0.000, 0.379, 0.750) (multiplicity 4)
Rh (0.142, 0.350, 0.511) (multiplicity 8)


Record 16
VASP calculation (PBE) on a geometry-optimized Ba19Hg4Rh6 structure.

a b c (Å): 13.513 13.513 13.513
angles (deg): 90.00 90.00 90.00
Space group I23 (No. 197)
One atom of each set of equivalent atoms:
Ba (0.000, 0.000, 0.000) (multiplicity 2)
Ba (0.000, 0.000, 0.362) (multiplicity 12)
Ba (0.053, 0.298, 0.283) (multiplicity 24)
Hg (0.170, 0.170, 0.830) (multiplicity 8)
Rh (0.000, 0.305, 0.500) (multiplicity 12)


Record 17
VASP calculation (PBE) on a geometry-optimized BaHg2Rh structure.

a b c (Å): 3.921 5.401 10.063
angles (deg): 90.00 90.00 90.00
Space group Immm (No. 71)
One atom of each set of equivalent atoms:
Ba (0.000, 0.000, 0.000) (multiplicity 2)
Hg (0.000, 0.500, 0.202) (multiplicity 4)
Rh (0.000, 0.000, 0.500) (multiplicity 2)


Record 18
VASP calculation (PBE) on a geometry-optimized Ba3HgRh structure.

a b c (Å): 6.030 6.030 6.030
angles (deg): 90.00 90.00 90.00
Space group Pm-3m (No. 221)
One atom of each set of equivalent atoms:
Ba (0.000, 0.000, 0.500) (multiplicity 3)
Hg (0.500, 0.500, 0.500) (multiplicity 1)
Rh (0.000, 0.000, 0.000) (multiplicity 1)


Record 19
VASP calculation (PBE) on a geometry-optimized BaHg2Rh structure.

a b c (Å): 6.063 10.956 4.465
angles (deg): 90.00 132.36 90.00
Space group C2/m (No. 12)
One atom of each set of equivalent atoms:
Ba (0.000, 0.000, 0.000) (multiplicity 2)
Hg (0.250, 0.250, 0.500) (multiplicity 4)
Rh (0.000, 0.500, 0.000) (multiplicity 2)


Record 20
VASP calculation (PBE) on a geometry-optimized Ba8Hg2Rh3 structure.

a b c (Å): 15.520 9.183 8.025
angles (deg): 90.00 90.49 90.00
Space group C2/m (No. 12)
One atom of each set of equivalent atoms:
Ba (0.105, 0.244, 0.326) (multiplicity 8)
Ba (0.107, 0.000, 0.839) (multiplicity 4)
Ba (0.118, 0.500, 0.863) (multiplicity 4)
Hg (0.249, 0.000, 0.503) (multiplicity 4)
Rh (0.000, 0.000, 0.500) (multiplicity 2)
Rh (0.000, 0.262, 0.000) (multiplicity 4)


Record 21
VASP calculation (PBE) on a geometry-optimized BaHg2Rh structure.

a b c (Å): 5.179 5.179 19.007
angles (deg): 90.00 90.00 90.00
Space group I-42d (No. 122)
One atom of each set of equivalent atoms:
Ba (0.000, 0.000, 0.000) (multiplicity 4)
Hg (0.099, 0.250, 0.625) (multiplicity 8)
Rh (0.000, 0.000, 0.500) (multiplicity 4)


Record 22
VASP calculation (PBE) on a geometry-optimized BaHg3Rh structure.

a b c (Å): 6.264 6.264 6.264
angles (deg): 90.00 90.00 90.00
Space group Pm-3m (No. 221)
One atom of each set of equivalent atoms:
Ba (0.000, 0.000, 0.000) (multiplicity 1)
Hg (0.000, 0.000, 0.500) (multiplicity 3)
Rh (0.500, 0.500, 0.500) (multiplicity 1)


Record 23
VASP calculation (PBE) on a geometry-optimized Ba3Hg2Rh2 structure.

a b c (Å): 12.401 4.485 9.131
angles (deg): 90.00 114.93 90.00
Space group C2/m (No. 12)
One atom of each set of equivalent atoms:
Ba (0.000, 0.000, 0.000) (multiplicity 2)
Ba (0.194, 0.000, 0.669) (multiplicity 4)
Hg (0.020, 0.500, 0.319) (multiplicity 4)
Rh (0.202, 0.500, 0.944) (multiplicity 4)


Record 24
VASP calculation (PBE) on a geometry-optimized BaHgRh structure.

a b c (Å): 3.781 3.781 11.170
angles (deg): 90.00 90.00 90.00
Space group I4mm (No. 107)
One atom of each set of equivalent atoms:
Ba (0.000, 0.000, 0.000) (multiplicity 2)
Hg (0.000, 0.000, 0.711) (multiplicity 2)
Rh (0.000, 0.000, 0.296) (multiplicity 2)


| no. | DFT total energy (eV/atom) |
| --- | --- |
| 1 | -2.077 |
| 2 | -2.762 |
| 3 | -3.430 |
| 4 | -3.397 |
| 5 | -2.608 |
| 6 | -2.684 |
| 7 | -3.942 |
| 8 | -2.530 |
| 9 | -3.511 |
| 10 | -2.532 |
| 11 | -2.701 |
| 12 | -2.311 |
| 13 | -2.117 |
| 14 | -2.633 |
| 15 | -4.021 |
| 16 | -3.046 |
| 17 | -2.616 |
| 18 | -2.902 |
| 19 | -2.392 |
| 20 | -3.169 |
| 21 | -2.536 |
| 22 | -0.925 |
| 23 | -3.372 |
| 24 | -3.267 |